Record 1
MgRhCl2 | Alexandria via LeMat-Bulk | GGA-PBE | relaxed; total moment = 1.4 μB per cell; ΔE_f (raw) = -490.9 meV/atom; VASP energy = -3.65 eV/atom; symmetry = No. 99
1.0
3.1600 0.0000 0.0000
0.0000 3.1600 0.0000
0.0000 0.0000 8.2248
Mg Rh Cl
1 1 2
Direct
0.0000 0.0000 0.0000 Mg
0.5000 0.5000 0.2335 Rh
0.0000 0.0000 0.3991 Cl
0.5000 0.5000 0.8296 Cl

=====

Record 2
CrCBr3 | Alexandria via LeMat-Bulk | GGA-PBE | relaxed; total moment = 5.0 μB per cell; ΔE_f (raw) = 1115.5 meV/atom; VASP energy = -3.66 eV/atom; symmetry = No. 221
1.0
4.7823 0.0000 0.0000
0.0000 4.7823 0.0000
0.0000 0.0000 4.7823
Cr C Br
1 1 3
Direct
0.0000 0.0000 0.0000 Cr
0.5000 0.5000 0.5000 C
0.0000 0.5000 0.5000 Br
0.5000 0.0000 0.5000 Br
0.5000 0.5000 0.0000 Br

=====

Record 3
CaNi2Ag2 | Alexandria via LeMat-Bulk | GGA-PBE | relaxed; total moment = 0.2 μB per cell; formation enthalpy at 0 K = 51 meV/atom; VASP energy = -3.80 eV/atom; symmetry = No. 139
1.0
-2.0236 2.0236 5.6146
2.0236 -2.0236 5.6146
2.0236 2.0236 -5.6146
Ca Ni Ag
1 2 2
Direct
0.0000 0.0000 0.0000 Ca
0.4007 0.4007 0.0000 Ni
0.5993 0.5993 0.0000 Ni
0.2500 0.7500 0.5000 Ag
0.7500 0.2500 0.5000 Ag

=====

Record 4
SrTaAu2 | Alexandria via LeMat-Bulk | GGA-PBE | relaxed; total moment = 0.0 μB per cell; formation enthalpy at 0 K = 2 meV/atom; VASP energy = -5.02 eV/atom; symmetry = No. 123
1.0
5.2637 0.0000 0.0000
0.0000 5.2637 0.0000
0.0000 0.0000 3.0816
Sr Ta Au
1 1 2
Direct
0.0000 0.0000 0.0000 Sr
0.5000 0.5000 0.0000 Ta
0.0000 0.5000 0.5000 Au
0.5000 0.0000 0.5000 Au